Mg3BeAl8O16: optimized geometry, GGA-PBEsol.

The structure in CIF format:
```
data_Mg3BeAl8O16
_chemical_formula_sum 'Mg6 Be2 Al16 O32'
_space_group_name_H-M_alt 'P 1'
_space_group_IT_number 1
_space_group_name_Hall 'P 1'
_cell_length_a 5.677
_cell_length_b 5.677
_cell_length_c 18.445
_cell_angle_alpha 90.00
_cell_angle_beta 90.00
_cell_angle_gamma 120.00
loop_
_atom_site_label
_atom_site_type_symbol
_atom_site_fract_x
_atom_site_fract_y
_atom_site_fract_z
_atom_site_occupancy
Al1 Al 0.835 0.670 0.948 1
Al2 Al 0.835 0.165 0.948 1
Al3 Al 0.330 0.165 0.948 1
Al4 Al 0.165 0.330 0.448 1
Al5 Al 0.165 0.835 0.448 1
Al6 Al 0.670 0.835 0.448 1
Al7 Al 0.000 0.000 0.817 1
Al8 Al 0.000 0.000 0.317 1
Al9 Al 0.498 0.996 0.703 1
Al10 Al 0.498 0.502 0.703 1
Al11 Al 0.004 0.502 0.703 1
Al12 Al 0.502 0.004 0.203 1
Al13 Al 0.502 0.498 0.203 1
Al14 Al 0.996 0.498 0.203 1
Al15 Al 0.333 0.667 0.575 1
Al16 Al 0.667 0.333 0.075 1
Be1 Be 0.667 0.333 0.808 1
Be2 Be 0.333 0.667 0.308 1
Mg1 Mg 0.333 0.667 0.857 1
Mg2 Mg 0.667 0.333 0.357 1
Mg3 Mg 0.000 0.000 0.608 1
Mg4 Mg 0.000 0.000 0.108 1
Mg5 Mg 0.667 0.333 0.545 1
Mg6 Mg 0.333 0.667 0.045 1
O1 O 0.000 0.000 0.003 1
O2 O 0.000 0.000 0.503 1
O3 O 0.518 0.035 0.008 1
O4 O 0.518 0.482 0.008 1
O5 O 0.965 0.482 0.008 1
O6 O 0.482 0.965 0.508 1
O7 O 0.482 0.518 0.508 1
O8 O 0.035 0.518 0.508 1
O9 O 0.667 0.333 0.893 1
O10 O 0.333 0.667 0.393 1
O11 O 0.705 0.853 0.889 1
O12 O 0.147 0.295 0.889 1
O13 O 0.147 0.853 0.889 1
O14 O 0.295 0.147 0.389 1
O15 O 0.853 0.705 0.389 1
O16 O 0.853 0.147 0.389 1
O17 O 0.333 0.667 0.754 1
O18 O 0.667 0.333 0.254 1
O19 O 0.822 0.643 0.765 1
O20 O 0.822 0.178 0.765 1
O21 O 0.357 0.178 0.765 1
O22 O 0.178 0.357 0.265 1
O23 O 0.178 0.822 0.265 1
O24 O 0.643 0.822 0.265 1
O25 O 0.667 0.333 0.652 1
O26 O 0.333 0.667 0.152 1
O27 O 0.630 0.815 0.642 1
O28 O 0.185 0.370 0.642 1
O29 O 0.185 0.815 0.642 1
O30 O 0.370 0.185 0.142 1
O31 O 0.815 0.630 0.142 1
O32 O 0.815 0.185 0.142 1
```

Calculated values
Formation energy without anion corrections ... -3.00 eV/atom

=====

TiAs2HSe: optimized geometry, GGA-PBEsol.

The structure in CIF format:
```
data_TiAs2HSe
_chemical_formula_sum 'Ti1 As2 H1 Se1'
_space_group_name_H-M_alt 'P 1'
_space_group_IT_number 1
_space_group_name_Hall 'P 1'
_cell_length_a 3.833
_cell_length_b 3.833
_cell_length_c 5.146
_cell_angle_alpha 90.00
_cell_angle_beta 90.00
_cell_angle_gamma 90.00
loop_
_atom_site_label
_atom_site_type_symbol
_atom_site_fract_x
_atom_site_fract_y
_atom_site_fract_z
_atom_site_occupancy
H1 H 0.000 0.000 0.000 1
As1 As 0.000 0.500 0.000 1
As2 As 0.500 0.000 0.000 1
Se1 Se 0.000 0.000 0.500 1
Ti1 Ti 0.500 0.500 0.500 1
```

Calculated values
Total energy ... -25.0 eV per cell

=====

CaAsI2: optimized geometry, GGA-PBEsol.

The structure in CIF format:
```
data_CaAsI2
_chemical_formula_sum 'Ca2 As2 I4'
_space_group_name_H-M_alt 'P 1'
_space_group_IT_number 1
_space_group_name_Hall 'P 1'
_cell_length_a 5.249
_cell_length_b 5.249
_cell_length_c 10.553
_cell_angle_alpha 104.40
_cell_angle_beta 104.40
_cell_angle_gamma 90.00
loop_
_atom_site_label
_atom_site_type_symbol
_atom_site_fract_x
_atom_site_fract_y
_atom_site_fract_z
_atom_site_occupancy
I1 I 0.361 0.875 0.250 1
I2 I 0.889 0.375 0.250 1
I3 I 0.125 0.111 0.750 1
I4 I 0.625 0.639 0.750 1
As1 As 0.250 0.750 0.500 1
As2 As 0.000 0.000 0.000 1
Ca1 Ca 0.750 0.250 0.500 1
Ca2 Ca 0.500 0.500 0.000 1
```

Calculated values
Formation energy without anion corrections ... -0.38 eV/atom
Energy relative to the lowest polymorph listed for this composition ... 0.0 kJ/mol of formula units

=====

Li5Ni3N3: optimized geometry, GGA-PBEsol.

The structure in CIF format:
```
data_Li5Ni3N3
_chemical_formula_sum 'Li5 Ni3 N3'
_space_group_name_H-M_alt 'P 1'
_space_group_IT_number 1
_space_group_name_Hall 'P 1'
_cell_length_a 3.437
_cell_length_b 6.411
_cell_length_c 6.411
_cell_angle_alpha 120.00
_cell_angle_beta 90.00
_cell_angle_gamma 90.00
loop_
_atom_site_label
_atom_site_type_symbol
_atom_site_fract_x
_atom_site_fract_y
_atom_site_fract_z
_atom_site_occupancy
Li1 Li 0.500 0.333 0.667 1
Li2 Li 0.500 0.667 0.333 1
Li3 Li 0.500 0.000 0.263 1
Li4 Li 0.500 0.737 0.737 1
Li5 Li 0.500 0.263 0.000 1
Ni1 Ni 0.000 0.000 0.631 1
Ni2 Ni 0.000 0.631 0.000 1
Ni3 Ni 0.000 0.369 0.369 1
N1 N 0.500 0.000 0.633 1
N2 N 0.500 0.367 0.367 1
N3 N 0.500 0.633 0.000 1
```

Calculated values
Formation energy without anion corrections ... -0.42 eV/atom

=====

Zr3BAs: optimized geometry, GGA-PBEsol.

The structure in CIF format:
```
data_Zr3BAs
_chemical_formula_sum 'Zr3 B1 As1'
_space_group_name_H-M_alt 'P 1'
_space_group_IT_number 1
_space_group_name_Hall 'P 1'
_cell_length_a 4.870
_cell_length_b 4.870
_cell_length_c 4.870
_cell_angle_alpha 90.00
_cell_angle_beta 90.00
_cell_angle_gamma 90.00
loop_
_atom_site_label
_atom_site_type_symbol
_atom_site_fract_x
_atom_site_fract_y
_atom_site_fract_z
_atom_site_occupancy
As1 As 0.000 0.000 0.000 1
B1 B 0.500 0.500 0.500 1
Zr1 Zr 0.000 0.500 0.000 1
Zr2 Zr 0.000 0.000 0.500 1
Zr3 Zr 0.500 0.000 0.000 1
```

Calculated values
DFT formation energy ... 863 meV/atom

=====

KTcSeBr2: optimized geometry, GGA-PBEsol.

The structure in CIF format:
```
data_KTcSeBr2
_chemical_formula_sum 'K1 Tc1 Se1 Br2'
_space_group_name_H-M_alt 'P 1'
_space_group_IT_number 1
_space_group_name_Hall 'P 1'
_cell_length_a 5.575
_cell_length_b 5.575
_cell_length_c 5.620
_cell_angle_alpha 90.00
_cell_angle_beta 90.00
_cell_angle_gamma 90.00
loop_
_atom_site_label
_atom_site_type_symbol
_atom_site_fract_x
_atom_site_fract_y
_atom_site_fract_z
_atom_site_occupancy
K1 K 0.000 0.000 0.000 1
Se1 Se 0.000 0.000 0.500 1
Tc1 Tc 0.500 0.500 0.500 1
Br1 Br 0.000 0.500 0.000 1
Br2 Br 0.500 0.000 0.000 1
```

Calculated values
Formation energy without anion corrections ... 1.08 eV/atom

=====

NiSbP2: optimized geometry, GGA-PBEsol.

The structure in CIF format:
```
data_NiSbP2
_chemical_formula_sum 'Ni1 Sb1 P2'
_space_group_name_H-M_alt 'P 1'
_space_group_IT_number 1
_space_group_name_Hall 'P 1'
_cell_length_a 3.221
_cell_length_b 4.953
_cell_length_c 4.953
_cell_angle_alpha 64.93
_cell_angle_beta 71.03
_cell_angle_gamma 71.03
loop_
_atom_site_label
_atom_site_type_symbol
_atom_site_fract_x
_atom_site_fract_y
_atom_site_fract_z
_atom_site_occupancy
Ni1 Ni 0.705 0.795 0.795 1
P1 P 0.008 0.992 0.992 1
P2 P 0.299 0.201 0.201 1
Sb1 Sb 0.488 0.512 0.512 1
```

Calculated values
Formation energy without anion corrections ... 0.33 eV/atom

=====

KLi3C: optimized geometry, GGA-PBEsol.

The structure in CIF format:
```
data_KLi3C
_chemical_formula_sum 'K1 Li3 C1'
_space_group_name_H-M_alt 'P 1'
_space_group_IT_number 1
_space_group_name_Hall 'P 1'
_cell_length_a 4.427
_cell_length_b 4.427
_cell_length_c 4.427
_cell_angle_alpha 90.00
_cell_angle_beta 90.00
_cell_angle_gamma 90.00
loop_
_atom_site_label
_atom_site_type_symbol
_atom_site_fract_x
_atom_site_fract_y
_atom_site_fract_z
_atom_site_occupancy
K1 K 0.000 0.000 0.000 1
C1 C 0.500 0.500 0.500 1
Li1 Li 0.000 0.500 0.000 1
Li2 Li 0.000 0.000 0.500 1
Li3 Li 0.500 0.000 0.000 1
```

Calculated values
DFT formation energy ... 1953 meV/atom

=====

Sc2CrCdF: optimized geometry, GGA-PBEsol.

The structure in CIF format:
```
data_Sc2CrCdF
_chemical_formula_sum 'Sc2 Cr1 Cd1 F1'
_space_group_name_H-M_alt 'P 1'
_space_group_IT_number 1
_space_group_name_Hall 'P 1'
_cell_length_a 4.286
_cell_length_b 4.286
_cell_length_c 4.868
_cell_angle_alpha 90.00
_cell_angle_beta 90.00
_cell_angle_gamma 90.00
loop_
_atom_site_label
_atom_site_type_symbol
_atom_site_fract_x
_atom_site_fract_y
_atom_site_fract_z
_atom_site_occupancy
Sc1 Sc 0.000 0.500 0.000 1
Sc2 Sc 0.500 0.000 0.000 1
Cr1 Cr 0.500 0.500 0.500 1
F1 F 0.000 0.000 0.000 1
Cd1 Cd 0.000 0.000 0.500 1
```

Calculated values
Formation energy without anion corrections ... -0.55 eV/atom

=====

GdErIr2: optimized geometry, GGA-PBEsol.

The structure in CIF format:
```
data_GdErIr2
_chemical_formula_sum 'Gd1 Er1 Ir2'
_space_group_name_H-M_alt 'P 1'
_space_group_IT_number 1
_space_group_name_Hall 'P 1'
_cell_length_a 4.776
_cell_length_b 4.776
_cell_length_c 4.776
_cell_angle_alpha 60.00
_cell_angle_beta 60.00
_cell_angle_gamma 60.00
loop_
_atom_site_label
_atom_site_type_symbol
_atom_site_fract_x
_atom_site_fract_y
_atom_site_fract_z
_atom_site_occupancy
Er1 Er 0.500 0.500 0.500 1
Gd1 Gd 0.000 0.000 0.000 1
Ir1 Ir 0.250 0.250 0.250 1
Ir2 Ir 0.750 0.750 0.750 1
```

Calculated values
DFT formation energy ... -771 meV/atom

=====

PmDyTl2: optimized geometry, GGA-PBEsol.

The structure in CIF format:
```
data_PmDyTl2
_chemical_formula_sum 'Pm1 Dy1 Tl2'
_space_group_name_H-M_alt 'P 1'
_space_group_IT_number 1
_space_group_name_Hall 'P 1'
_cell_length_a 5.324
_cell_length_b 5.324
_cell_length_c 5.324
_cell_angle_alpha 60.00
_cell_angle_beta 60.00
_cell_angle_gamma 60.00
loop_
_atom_site_label
_atom_site_type_symbol
_atom_site_fract_x
_atom_site_fract_y
_atom_site_fract_z
_atom_site_occupancy
Tl1 Tl 0.250 0.250 0.250 1
Tl2 Tl 0.750 0.750 0.750 1
Dy1 Dy 0.000 0.000 0.000 1
Pm1 Pm 0.500 0.500 0.500 1
```

Calculated values
DFT formation energy ... -435 meV/atom

=====

Y2ZrCu: optimized geometry, GGA-PBEsol.

The structure in CIF format:
```
data_Y2ZrCu
_chemical_formula_sum 'Y2 Zr1 Cu1'
_space_group_name_H-M_alt 'P 1'
_space_group_IT_number 1
_space_group_name_Hall 'P 1'
_cell_length_a 3.350
_cell_length_b 3.350
_cell_length_c 8.158
_cell_angle_alpha 90.00
_cell_angle_beta 90.00
_cell_angle_gamma 90.00
loop_
_atom_site_label
_atom_site_type_symbol
_atom_site_fract_x
_atom_site_fract_y
_atom_site_fract_z
_atom_site_occupancy
Y1 Y 0.000 0.000 0.717 1
Y2 Y 0.000 0.000 0.283 1
Cu1 Cu 0.500 0.500 0.500 1
Zr1 Zr 0.500 0.500 0.000 1
```

Calculated values
DFT formation energy ... -53 meV/atom
Energy relative to the lowest polymorph listed for this composition ... 0.0 kJ/mol of formula units

=====

Ordered magnetic moment results: 0.0, 0.3, 0.0, 0.0, 0.0, 6.0, 0.0, 0.0, 3.2, 6.9, 0.0, 0.0; unit Bohr magnetons per cell.
Ordered DOS(E_F) results: 0.00, 3.40, 6.19, 3.30, 4.68, 4.45, 2.66, 0.46, 4.34, 1.93, 3.32, 3.69; unit states/eV per cell.